No. 1
! Sr3CeMn4O12, single point on PBEsol structure, DFT meta-GGA SCAN; values from VASP
! - E_form (uncorrected): -2800.5 meV/atom
! - DOS(E_F): 0.280 states/eV/atom
&SYSTEM
  ibrav = 0, nat = 20, ntyp = 4
/
ATOMIC_SPECIES
O 16.00 O.upf
Sr 87.62 Sr.upf
Mn 54.94 Mn.upf
Ce 140.12 Ce.upf
CELL_PARAMETERS angstrom
-4.122 -5.132 -0.246
5.084 -1.072 -4.048
2.216 0.744 6.158
ATOMIC_POSITIONS crystal
O 0.243 0.757 0.000
O 0.243 0.000 0.757
O 0.000 0.757 0.243
O 0.757 0.243 0.000
O 0.757 0.757 0.513
O 0.000 0.243 0.757
O 0.243 0.487 0.243
O 0.757 0.000 0.243
O 0.487 0.243 0.243
O 0.513 0.757 0.757
O 0.757 0.513 0.757
O 0.243 0.243 0.487
Sr 0.500 0.000 0.500
Sr 0.000 0.500 0.500
Sr 0.500 0.500 0.000
Mn 0.500 0.500 0.500
Mn 0.000 0.000 0.500
Mn 0.500 0.000 0.000
Mn 0.000 0.500 0.000
Ce 0.000 0.000 0.000

---

No. 2
! Ce2Mn3Si4Pd, single point on PBEsol structure, DFT meta-GGA SCAN; values from VASP
! - E_form (uncorrected): -695.2 meV/atom
! - DOS(E_F): 0.716 states/eV/atom
&SYSTEM
  ibrav = 0, nat = 10, ntyp = 4
/
ATOMIC_SPECIES
Mn 54.94 Mn.upf
Si 28.09 Si.upf
Pd 106.42 Pd.upf
Ce 140.12 Ce.upf
CELL_PARAMETERS angstrom
-3.037 1.875 -1.730
0.358 -2.351 -3.175
-6.379 -6.534 4.118
ATOMIC_POSITIONS crystal
Mn 0.000 0.000 0.500
Mn 0.500 0.500 0.500
Mn 0.000 0.000 0.000
Si 0.000 0.500 0.872
Si 0.500 0.000 0.375
Si 0.500 0.000 0.128
Si 0.000 0.500 0.625
Pd 0.500 0.500 0.000
Ce 0.000 0.500 0.253
Ce 0.500 0.000 0.747

---

No. 3
! CeZr3Mn8, single point on PBEsol structure, DFT meta-GGA SCAN; values from VASP
! - DOS(E_F): 0.878 states/eV/atom
! - Formation enthalpy at 0 K: -0.6 eV per formula unit
&SYSTEM
  ibrav = 0, nat = 12, ntyp = 3
/
ATOMIC_SPECIES
Mn 54.94 Mn.upf
Zr 91.22 Zr.upf
Ce 140.12 Ce.upf
CELL_PARAMETERS angstrom
4.850 0.000 0.000
-2.425 4.200 0.000
0.000 0.000 8.255
ATOMIC_POSITIONS crystal
Mn 0.502 0.498 0.757
Mn 0.996 0.498 0.757
Mn 0.164 0.328 0.243
Mn 0.502 0.004 0.757
Mn 0.672 0.836 0.243
Mn 0.333 0.667 0.996
Mn 0.164 0.836 0.243
Mn 0.333 0.667 0.500
Zr 0.000 0.000 0.934
Zr 0.667 0.333 0.067
Zr 0.000 0.000 0.564
Ce 0.667 0.333 0.441

---

No. 4
! NaCeMo2O8, single point on PBEsol structure, DFT meta-GGA SCAN; values from VASP
! - E_form (uncorrected): -2608.7 meV/atom
! - DOS(E_F): 0.332 states/eV/atom
&SYSTEM
  ibrav = 0, nat = 12, ntyp = 4
/
ATOMIC_SPECIES
O 16.00 O.upf
Na 22.99 Na.upf
Mo 95.94 Mo.upf
Ce 140.12 Ce.upf
CELL_PARAMETERS angstrom
-2.982 -0.017 -4.324
2.454 -4.331 -1.676
-3.587 -1.041 5.668
ATOMIC_POSITIONS crystal
O 0.808 0.400 0.324
O 0.924 0.840 0.164
O 0.160 0.760 0.836
O 0.676 0.076 0.836
O 0.077 0.192 0.676
O 0.240 0.324 0.164
O 0.600 0.485 0.676
O 0.515 0.923 0.324
Na 0.250 0.750 0.500
Mo 0.750 0.250 0.500
Mo 0.000 0.000 0.000
Ce 0.500 0.500 0.000

---

No. 5
! Ce2Mo3O12, single point on PBEsol structure, DFT meta-GGA SCAN; values from VASP
! - E_form (uncorrected): -2697.5 meV/atom
! - DOS(E_F): 0.311 states/eV/atom
&SYSTEM
  ibrav = 0, nat = 34, ntyp = 3
/
ATOMIC_SPECIES
O 16.00 O.upf
Ce 140.12 Ce.upf
Mo 95.94 Mo.upf
CELL_PARAMETERS angstrom
6.920 0.045 0.001
-2.667 6.385 0.001
-2.097 -3.171 10.779
ATOMIC_POSITIONS crystal
O 0.415 0.315 0.041
O 0.100 0.025 0.425
O 0.900 0.975 0.575
O 0.838 0.269 0.441
O 0.162 0.582 0.109
O 0.382 0.289 0.780
O 0.315 0.415 0.541
O 0.838 0.418 0.891
O 0.603 0.954 0.803
O 0.025 0.100 0.925
O 0.418 0.838 0.391
O 0.397 0.046 0.197
O 0.289 0.382 0.280
O 0.162 0.731 0.559
O 0.046 0.397 0.697
O 0.582 0.162 0.609
O 0.711 0.618 0.720
O 0.585 0.685 0.959
O 0.269 0.838 0.941
O 0.618 0.711 0.220
O 0.975 0.900 0.075
O 0.731 0.162 0.059
O 0.954 0.603 0.303
O 0.685 0.585 0.459
Ce 0.454 0.211 0.405
Ce 0.211 0.454 0.905
Ce 0.789 0.546 0.095
Ce 0.546 0.789 0.595
Mo 0.962 0.750 0.452
Mo 0.038 0.250 0.548
Mo 0.750 0.962 0.952
Mo 0.250 0.038 0.048
Mo 0.635 0.365 0.750
Mo 0.365 0.635 0.250

---

No. 6
! CeTlMo2O8, single point on PBEsol structure, DFT meta-GGA SCAN; values from VASP
! - E_form (uncorrected): -2414.5 meV/atom
! - DOS(E_F): 0.260 states/eV/atom
&SYSTEM
  ibrav = 0, nat = 48, ntyp = 4
/
ATOMIC_SPECIES
O 16.00 O.upf
Mo 95.94 Mo.upf
Tl 204.38 Tl.upf
Ce 140.12 Ce.upf
CELL_PARAMETERS angstrom
5.183 0.000 0.000
0.000 8.058 0.000
0.000 0.000 18.307
ATOMIC_POSITIONS crystal
O 0.218 0.857 0.398
O 0.282 0.357 0.102
O 0.751 0.992 0.464
O 0.782 0.643 0.398
O 0.264 0.204 0.907
O 0.718 0.643 0.898
O 0.387 0.967 0.190
O 0.751 0.492 0.536
O 0.249 0.508 0.464
O 0.387 0.467 0.810
O 0.782 0.143 0.602
O 0.251 0.008 0.036
O 0.249 0.008 0.536
O 0.113 0.467 0.310
O 0.236 0.704 0.593
O 0.887 0.533 0.690
O 0.718 0.143 0.102
O 0.113 0.967 0.690
O 0.749 0.492 0.036
O 0.736 0.796 0.093
O 0.236 0.204 0.407
O 0.749 0.992 0.964
O 0.764 0.296 0.407
O 0.736 0.296 0.907
O 0.764 0.796 0.593
O 0.218 0.357 0.602
O 0.251 0.508 0.964
O 0.613 0.533 0.190
O 0.282 0.857 0.898
O 0.613 0.033 0.810
O 0.887 0.033 0.310
O 0.264 0.704 0.093
Mo 0.989 0.968 0.602
Mo 0.511 0.468 0.898
Mo 0.011 0.532 0.602
Mo 0.511 0.968 0.102
Mo 0.489 0.032 0.898
Mo 0.489 0.532 0.102
Mo 0.011 0.032 0.398
Mo 0.989 0.468 0.398
Tl 0.000 0.750 0.234
Tl 0.500 0.250 0.266
Tl 0.500 0.750 0.734
Tl 0.000 0.250 0.766
Ce 0.500 0.250 0.510
Ce 0.500 0.750 0.490
Ce 0.000 0.750 0.990
Ce 0.000 0.250 0.010

---

No. 7
! CeMo6S8, single point on PBEsol structure, DFT meta-GGA SCAN; values from VASP
! - E_form (uncorrected): -1038.3 meV/atom
! - DOS(E_F): 0.339 states/eV/atom
&SYSTEM
  ibrav = 0, nat = 15, ntyp = 3
/
ATOMIC_SPECIES
S 32.06 S.upf
Mo 95.94 Mo.upf
Ce 140.12 Ce.upf
CELL_PARAMETERS angstrom
6.399 0.016 0.016
0.144 6.397 0.016
0.144 0.141 6.395
ATOMIC_POSITIONS crystal
S 0.372 0.127 0.756
S 0.756 0.372 0.127
S 0.628 0.873 0.244
S 0.241 0.241 0.241
S 0.759 0.759 0.759
S 0.244 0.628 0.873
S 0.127 0.756 0.372
S 0.873 0.244 0.628
Mo 0.437 0.779 0.580
Mo 0.563 0.221 0.420
Mo 0.221 0.420 0.563
Mo 0.580 0.437 0.779
Mo 0.779 0.580 0.437
Mo 0.420 0.563 0.221
Ce 0.000 0.000 0.000

---

No. 8
! CeMo6Se8, single point on PBEsol structure, DFT meta-GGA SCAN; values from VASP
! - E_form (uncorrected): -799.7 meV/atom
! - DOS(E_F): 0.525 states/eV/atom
&SYSTEM
  ibrav = 0, nat = 15, ntyp = 3
/
ATOMIC_SPECIES
Ce 140.12 Ce.upf
Mo 95.94 Mo.upf
Se 78.96 Se.upf
CELL_PARAMETERS angstrom
6.671 0.027 0.027
0.153 6.669 0.027
0.153 0.151 6.667
ATOMIC_POSITIONS crystal
Ce 0.000 0.000 0.000
Mo 0.424 0.561 0.232
Mo 0.561 0.232 0.424
Mo 0.768 0.576 0.439
Mo 0.439 0.768 0.576
Mo 0.576 0.439 0.768
Mo 0.232 0.424 0.561
Se 0.239 0.239 0.239
Se 0.121 0.760 0.374
Se 0.879 0.240 0.626
Se 0.761 0.761 0.761
Se 0.626 0.879 0.240
Se 0.760 0.374 0.121
Se 0.240 0.626 0.879
Se 0.374 0.121 0.760

---

No. 9
! CeNdN2, single point on PBEsol structure, DFT meta-GGA SCAN; values from VASP
! - E_form (uncorrected): -1702.9 meV/atom
! - DOS(E_F): 0.528 states/eV/atom
&SYSTEM
  ibrav = 0, nat = 4, ntyp = 3
/
ATOMIC_SPECIES
N 14.01 N.upf
Nd 144.24 Nd.upf
Ce 140.12 Ce.upf
CELL_PARAMETERS angstrom
-1.354 2.595 -2.033
-0.070 -0.366 -3.544
-5.731 -1.719 -1.501
ATOMIC_POSITIONS crystal
N 0.756 0.756 0.733
N 0.244 0.244 0.267
Nd 0.000 0.000 0.000
Ce 0.500 0.500 0.500

---

No. 10
! Ce2SeN2, single point on PBEsol structure, DFT meta-GGA SCAN; values from VASP
! - E_form (uncorrected): -1933.8 meV/atom
&SYSTEM
  ibrav = 0, nat = 5, ntyp = 3
/
ATOMIC_SPECIES
Se 78.96 Se.upf
Ce 140.12 Ce.upf
N 14.01 N.upf
CELL_PARAMETERS angstrom
3.888 0.000 0.000
-1.944 3.367 0.000
0.000 0.000 6.902
ATOMIC_POSITIONS crystal
Se 0.000 0.000 0.000
Ce 0.333 0.667 0.295
Ce 0.667 0.333 0.705
N 0.667 0.333 0.375
N 0.333 0.667 0.625

---

No. 11
! Ce3Ta2N6, single point on PBEsol structure, DFT meta-GGA SCAN; values from VASP
! - E_form (uncorrected): -1603.9 meV/atom
! - DOS(E_F): 0.825 states/eV/atom
&SYSTEM
  ibrav = 0, nat = 11, ntyp = 3
/
ATOMIC_SPECIES
N 14.01 N.upf
Ce 140.12 Ce.upf
Ta 180.95 Ta.upf
CELL_PARAMETERS angstrom
-2.971 -2.683 0.145
0.470 -0.307 3.966
-5.088 8.586 -0.756
ATOMIC_POSITIONS crystal
N 0.082 0.582 0.165
N 0.418 0.918 0.835
N 0.918 0.418 0.835
N 0.701 0.701 0.402
N 0.582 0.082 0.165
N 0.299 0.299 0.598
Ce 0.819 0.819 0.639
Ce 0.000 0.000 0.000
Ce 0.181 0.181 0.361
Ta 0.598 0.598 0.197
Ta 0.402 0.402 0.803

---

No. 12
! CeU4N5, single point on PBEsol structure, DFT meta-GGA SCAN; values from VASP
! - E_form (uncorrected): -1376.9 meV/atom
! - DOS(E_F): 1.606 states/eV/atom
&SYSTEM
  ibrav = 0, nat = 10, ntyp = 3
/
ATOMIC_SPECIES
U 238.03 U.upf
N 14.01 N.upf
Ce 140.12 Ce.upf
CELL_PARAMETERS angstrom
3.426 0.000 0.000
1.713 2.967 0.000
1.713 0.989 13.903
ATOMIC_POSITIONS crystal
U 0.402 0.402 0.795
U 0.200 0.200 0.401
U 0.800 0.800 0.599
U 0.598 0.598 0.205
N 0.500 0.500 0.500
N 0.295 0.295 0.114
N 0.899 0.899 0.303
N 0.705 0.705 0.886
N 0.101 0.101 0.697
Ce 0.000 0.000 0.000